# Co2AsHO6

A relaxed Co2AsHO6 crystal (PBE with a Hubbard U, Alexandria).

Results
* calculated total energy: -5.7893 eV per atom

Unit cell a=4.8200 b=4.8531 c=5.2749 alpha=113.79 beta=90.68 gamma=118.28
With the nearest neighbours (Å) after each atom.
Space group P1 (No. 1)
Asymmetric unit:
Co1 0.0000 0.0000 0.0000 [1 per cell]  6 O 1.90-1.96
Co2 0.4424 0.9099 0.4433 [1 per cell]  5 O 1.95-2.15
As1 0.6612 0.3490 0.0404 [1 per cell]  6 O 1.82-1.98
H1 0.0919 0.5010 0.7799 [1 per cell]  1 O 0.99
O1 0.0445 0.4458 0.2333 [1 per cell]  1 As 1.85, 2 Co 1.91-1.96
O2 0.2847 0.1783 0.7855 [1 per cell]  1 As 1.85, 1 Co 1.90
O3 0.3973 0.1508 0.2406 [1 per cell]  1 As 1.83, 2 Co 1.92-1.95
O4 0.6285 0.9242 0.7858 [1 per cell]  1 As 1.88, 2 Co 1.90-1.97
O5 0.7430 0.7963 0.2311 [1 per cell]  1 As 1.82, 2 Co 1.96-1.99
O6 0.8972 0.5226 0.7820 [1 per cell]  1 H 0.99